This record from Alexandria describes a relaxed Sm3Er8Th2 crystal. The functional is PBE.

Cell lengths 8.752, 8.752, 11.431 Å; angles 90.00, 90.00, 100.47 degrees
Element x y z (fractional)
Sm: 0.894 0.606 0.250
Sm: 0.500 0.500 0.500
Sm: 0.606 0.894 0.750
Sm: 0.394 0.106 0.250
Sm: 0.000 0.000 0.000
Sm: 0.106 0.394 0.750
Er: 0.848 0.615 0.917
Er: 0.885 0.652 0.583
Er: 0.937 0.063 0.626
Er: 0.168 0.832 0.785
Er: 0.563 0.437 0.126
Er: 0.332 0.668 0.285
Er: 0.348 0.115 0.583
Er: 0.615 0.848 0.083
Er: 0.385 0.152 0.917
Er: 0.652 0.885 0.417
Er: 0.063 0.937 0.374
Er: 0.437 0.563 0.874
Er: 0.832 0.168 0.215
Er: 0.668 0.332 0.715
Er: 0.115 0.348 0.417
Er: 0.152 0.385 0.083
Th: 0.217 0.783 0.058
Th: 0.283 0.717 0.558
Th: 0.717 0.283 0.442
Th: 0.783 0.217 0.942

Computed properties:
Total moment (μB per formula unit): 0.00
ΔH_f (0 K) (eV per atom): 0.208

***

This record from Alexandria describes a relaxed PaVSn crystal. The functional is PBE.

Cell lengths 3.241, 3.241, 6.462 Å; angles 104.52, 104.52, 90.00 degrees
Element x y z (fractional)
Pa: 0.317 0.317 0.634
Sn: 0.022 0.022 0.044
V: 0.661 0.661 0.322

Computed properties:
Total moment (μB per formula unit): 1.47
ΔH_f (0 K) (eV per atom): 0.039

***

This record from Alexandria describes a relaxed Ir2AuBr crystal. The functional is PBE.

Cell lengths 9.787, 9.787, 9.787 Å; angles 17.26, 17.26, 17.26 degrees
Element x y z (fractional)
Ir: 0.995 0.995 0.995
Ir: 0.258 0.258 0.258
Au: 0.511 0.511 0.511
Br: 0.735 0.735 0.735

Computed properties:
Total moment (μB per formula unit): 0.00
Relative energy among the computed polymorphs (meV per atom): 119.5
Formation energy from raw total energies (meV/atom): 574

***

This record from Alexandria describes a relaxed Cs2Ge2Te3 crystal. The functional is PBE.

Cell lengths 4.447, 7.544, 9.514 Å; angles 102.47, 90.11, 107.12 degrees
Element x y z (fractional)
Cs: 0.882 0.766 0.630
Cs: 0.118 0.234 0.370
Ge: 0.639 0.274 0.951
Ge: 0.361 0.726 0.049
Te: 0.000 0.000 0.000
Te: 0.778 0.554 0.210
Te: 0.222 0.446 0.790

Computed properties:
Total moment (μB per formula unit): 0.00
Relative energy among the computed polymorphs (meV per atom): 107.5
Formation energy from raw total energies (meV/atom): -415

***

This record from Alexandria describes a relaxed Zr2AgTe4 crystal. The functional is PBE.

Cell lengths 8.520, 8.520, 8.523 Å; angles 119.93, 119.93, 90.06 degrees
Element x y z (fractional)
Zr: 0.625 0.375 0.750
Zr: 0.625 0.875 0.250
Zr: 0.625 0.375 0.250
Zr: 0.125 0.375 0.750
Ag: 0.250 0.750 0.500
Ag: 0.000 0.000 0.000
Te: 0.870 0.132 0.263
Te: 0.380 0.618 0.237
Te: 0.869 0.606 0.737
Te: 0.868 0.131 0.737
Te: 0.394 0.131 0.263
Te: 0.381 0.144 0.763
Te: 0.382 0.619 0.763
Te: 0.856 0.619 0.237

Computed properties:
Total moment (μB per formula unit): 0.00
Relative energy among the computed polymorphs (meV per atom): 33.7
Formation energy from raw total energies (meV/atom): -675

***

This record from Alexandria describes a relaxed ZnNi2Pt8 crystal. The functional is PBE.

Cell lengths 3.922, 6.171, 7.252 Å; angles 105.31, 105.69, 90.00 degrees
Element x y z (fractional)
Zn: 0.500 0.000 0.000
Ni: 0.225 0.636 0.450
Ni: 0.775 0.364 0.550
Pt: 0.598 0.455 0.196
Pt: 0.319 0.083 0.637
Pt: 0.141 0.194 0.281
Pt: 0.047 0.728 0.093
Pt: 0.859 0.806 0.719
Pt: 0.681 0.917 0.363
Pt: 0.402 0.545 0.804
Pt: 0.953 0.272 0.907

Computed properties:
Total moment (μB per formula unit): 2.59
ΔH_f (0 K) (eV per atom): -0.151

***

Number 1: calculated total energy -4.8305 eV/atom. Number 2: calculated total energy -7.5003 eV/atom. Number 3: calculated total energy -5.0942 eV/atom. Number 4: calculated total energy -3.3244 eV/atom. Number 5: calculated total energy -5.3201 eV/atom. Number 6: calculated total energy -5.7113 eV/atom.